# GGA-PBE Tb2ThSc7, optimized geometry
data_Tb2ThSc7
_cell_length_a 6.0598
_cell_length_b 27.1667
_cell_length_c 3.3179
_cell_angle_alpha 90.00
_cell_angle_beta 90.00
_cell_angle_gamma 90.00
_symmetry_space_group_name_H-M 'C m m m'
_symmetry_Int_Tables_number 65
_symmetry_space_group_name_Hall '-C 2 2'
loop_
_atom_site_label
_atom_site_type_symbol
_atom_site_fract_x
_atom_site_fract_y
_atom_site_fract_z
Tb1 Tb 0.0000 0.2100 0.0000
Th1 Th 0.0000 0.5000 0.5000
Sc1 Sc 0.0000 0.0000 0.0000
Sc2 Sc 0.0000 0.3175 0.5000
Sc3 Sc 0.2463 0.4015 0.0000
# - Formation enthalpy at 0 K: 1.491 eV per formula unit
# - Uncorrected energy: -0.4374 Ry per atom

=====

# GGA-PBE LiCaNi2, optimized geometry
data_LiCaNi2
_cell_length_a 2.9518
_cell_length_b 3.5524
_cell_length_c 6.0256
_cell_angle_alpha 90.00
_cell_angle_beta 90.00
_cell_angle_gamma 90.00
_symmetry_space_group_name_H-M 'P m m m'
_symmetry_Int_Tables_number 47
_symmetry_space_group_name_Hall '-P 2 2'
loop_
_atom_site_label
_atom_site_type_symbol
_atom_site_fract_x
_atom_site_fract_y
_atom_site_fract_z
Li1 Li 0.0000 0.0000 0.0000
Ca1 Ca 0.0000 0.0000 0.5000
Ni1 Ni 0.5000 0.5000 0.1981
# - Formation enthalpy at 0 K: 0.528 eV per formula unit
# - Energy above the lowest structure with this stoichiometry: 17.3 kJ/mol of atoms
# - Uncorrected energy: -0.2747 Ry per atom

=====

# GGA-PBE AcPm2P, optimized geometry
data_AcPm2P
_cell_length_a 3.9942
_cell_length_b 3.9942
_cell_length_c 29.0418
_cell_angle_alpha 90.00
_cell_angle_beta 90.00
_cell_angle_gamma 120.00
_symmetry_space_group_name_H-M 'R -3 m'
_symmetry_Int_Tables_number 166
_symmetry_space_group_name_Hall '-R 3 2"'
loop_
_atom_site_label
_atom_site_type_symbol
_atom_site_fract_x
_atom_site_fract_y
_atom_site_fract_z
Ac1 Ac 0.0000 0.0000 0.0000
Pm1 Pm 0.0000 0.0000 0.2234
P1 P 0.0000 0.0000 0.5000
# - Formation enthalpy at 0 K: -2.877 eV per formula unit
# - Energy above the lowest structure with this stoichiometry: 0.4 kJ/mol of atoms
# - Uncorrected energy: -0.4023 Ry per atom

=====

# GGA-PBE BOsS, optimized geometry
data_BOsS
_cell_length_a 4.4042
_cell_length_b 4.3806
_cell_length_c 9.6564
_cell_angle_alpha 90.00
_cell_angle_beta 91.37
_cell_angle_gamma 90.00
_symmetry_space_group_name_H-M 'C 1 2/m 1'
_symmetry_Int_Tables_number 12
_symmetry_space_group_name_Hall '-C 2y'
loop_
_atom_site_label
_atom_site_type_symbol
_atom_site_fract_x
_atom_site_fract_y
_atom_site_fract_z
B1 B 0.2418 0.0000 0.1239
Os1 Os 0.2292 0.5000 0.1005
S1 S 0.2500 0.2500 0.5000
# - Uncorrected formation energy: 2.00 eV/f.u.
# - Uncorrected energy: -0.4909 Ry per atom